Material: RbFeSn3
Method: DFT, PBE-GGA
State: optimized geometry

Computed properties:
Energy of formation = 36 kJ/mol of formula units
Raw total energy = -4.21 eV per atom

a = 5.202 Å, b = 5.202 Å, c = 5.202 Å
α = 90.00°, β = 90.00°, γ = 90.00°
Space group Pm-3m (No. 221)
Symmetry-distinct sites (fractional):
Rb1 0.000 0.000 0.000 (multiplicity 1)
Fe1 0.500 0.500 0.500 (multiplicity 1)
Sn1 0.000 0.500 0.500 (multiplicity 3)